Here is LiSbAu2 after structural relaxation from Alexandria via LeMat-Bulk. Energies are from PBE-GGA.

- total magnetization (μB/f.u.) = 0.00
- theoretical density (g cm⁻³) = 10.07
- energy (eV/atom) = -3.221

Cell and atoms, written as CIF:
```
data_LiSbAu2
_chemical_formula_sum 'Li1 Sb1 Au2'
_cell_length_a 7.6953
_cell_length_b 7.6953
_cell_length_c 7.6953
_cell_angle_alpha 27.58
_cell_angle_beta 27.58
_cell_angle_gamma 27.58
_space_group_name_H-M_alt 'P 1'
_space_group_IT_number 1
loop_
_space_group_symop_operation_xyz
'x,y,z'
loop_
_atom_site_label
_atom_site_type_symbol
_atom_site_fract_x
_atom_site_fract_y
_atom_site_fract_z
Li1 Li 0.5099 0.5099 0.5099
Sb1 Sb 0.7456 0.7456 0.7456
Au1 Au 0.2480 0.2480 0.2480
Au2 Au 0.9966 0.9966 0.9966
```

***

Here is KCdTeSe2 after structural relaxation from Alexandria via LeMat-Bulk. Energies are from PBE-GGA.

- total magnetization (μB/f.u.) = 3.96
- theoretical density (g cm⁻³) = 3.27
- energy (eV/atom) = -1.653

Cell and atoms, written as CIF:
```
data_KCdTeSe2
_chemical_formula_sum 'K1 Cd1 Te1 Se2'
_cell_length_a 5.8707
_cell_length_b 5.8707
_cell_length_c 6.4427
_cell_angle_alpha 90.00
_cell_angle_beta 90.00
_cell_angle_gamma 90.00
_space_group_name_H-M_alt 'P 1'
_space_group_IT_number 1
loop_
_space_group_symop_operation_xyz
'x,y,z'
loop_
_atom_site_label
_atom_site_type_symbol
_atom_site_fract_x
_atom_site_fract_y
_atom_site_fract_z
Se1 Se 0.0000 0.5000 0.0000
Se2 Se 0.5000 0.0000 0.0000
Cd1 Cd 0.5000 0.5000 0.5000
Te1 Te 0.0000 0.0000 0.5000
K1 K 0.0000 0.0000 0.0000
```

***

Here is Dy3InN4 after structural relaxation from Alexandria via LeMat-Bulk. Energies are from PBE-GGA.

- total magnetization (μB/f.u.) = 0.00
- theoretical density (g cm⁻³) = 9.42
- energy (eV/atom) = -7.410

Cell and atoms, written as CIF:
```
data_Dy3InN4
_chemical_formula_sum 'Dy3 In1 N4'
_cell_length_a 4.8778
_cell_length_b 4.8778
_cell_length_c 4.8778
_cell_angle_alpha 90.00
_cell_angle_beta 90.00
_cell_angle_gamma 90.00
_space_group_name_H-M_alt 'P 1'
_space_group_IT_number 1
loop_
_space_group_symop_operation_xyz
'x,y,z'
loop_
_atom_site_label
_atom_site_type_symbol
_atom_site_fract_x
_atom_site_fract_y
_atom_site_fract_z
N1 N 0.0000 0.5000 0.0000
N2 N 0.5000 0.0000 0.0000
N3 N 0.5000 0.5000 0.5000
N4 N 0.0000 0.0000 0.5000
Dy1 Dy 0.5000 0.0000 0.5000
Dy2 Dy 0.5000 0.5000 0.0000
Dy3 Dy 0.0000 0.5000 0.5000
In1 In 0.0000 0.0000 0.0000
```

***

Here is YCuS2 after structural relaxation from Alexandria via LeMat-Bulk. Energies are from PBE-GGA.

- total magnetization (μB/f.u.) = 0.00
- theoretical density (g cm⁻³) = 4.30
- energy (eV/atom) = -6.081

Cell and atoms, written as CIF:
```
data_YCuS2
_chemical_formula_sum 'Y4 Cu4 S8'
_cell_length_a 3.9622
_cell_length_b 6.2650
_cell_length_c 13.4888
_cell_angle_alpha 90.00
_cell_angle_beta 90.00
_cell_angle_gamma 90.00
_space_group_name_H-M_alt 'P 1'
_space_group_IT_number 1
loop_
_space_group_symop_operation_xyz
'x,y,z'
loop_
_atom_site_label
_atom_site_type_symbol
_atom_site_fract_x
_atom_site_fract_y
_atom_site_fract_z
Y1 Y 0.7500 0.5000 0.8665
Y2 Y 0.7500 0.0000 0.3665
Y3 Y 0.2500 0.5000 0.1335
Y4 Y 0.2500 0.0000 0.6335
S1 S 0.7500 0.2526 0.0395
S2 S 0.2500 0.7526 0.4605
S3 S 0.2500 0.2419 0.2964
S4 S 0.2500 0.2581 0.7964
S5 S 0.7500 0.2474 0.5395
S6 S 0.2500 0.7474 0.9605
S7 S 0.7500 0.7419 0.2036
S8 S 0.7500 0.7581 0.7036
Cu1 Cu 0.2500 0.3742 0.4555
Cu2 Cu 0.7500 0.6258 0.5445
Cu3 Cu 0.7500 0.8742 0.0445
Cu4 Cu 0.2500 0.1258 0.9555
```

***

Sequential formation energy without anion corrections output: -28; 372; -910; -532 kJ/mol of formula units